# 1
{"formula": "Cs2Ni2Bi", "functional": "PBE", "state": "optimized geometry", "cell": [[3.4771, 0.0000, 0.0000], [0.0000, 3.4771, 0.0000], [1.7386, 1.7386, 12.3089]], "species": ["Cs", "Cs", "Ni", "Ni", "Bi"], "frac_coords": [[0.3740, 0.3740, 0.2520], [0.6260, 0.6260, 0.7480], [0.7500, 0.2500, 0.5000], [0.2500, 0.7500, 0.5000], [0.0000, 0.0000, 0.0000]], "spacegroup": "I4/mmm, No. 139", "final_energy_ev_per_atom": -3.06, "volume_a3_per_atom": 29.76, "e_form_ev_per_atom": 0.366}

---

# 2
{"formula": "TaTcW2", "functional": "PBE", "state": "optimized geometry", "cell": [[-8.3061, -2.5549, 3.8463], [-7.8443, -4.8713, 2.2473], [-6.6959, -4.6840, 4.8515]], "species": ["Ta", "Tc", "W", "W"], "frac_coords": [[0.2500, 0.2500, 0.2500], [0.7500, 0.7500, 0.7500], [0.0049, 0.0049, 0.0049], [0.4951, 0.4951, 0.4951]], "spacegroup": "R-3m, No. 166", "final_energy_ev_per_atom": -11.76, "volume_a3_per_atom": 16.49, "e_form_ev_per_atom": 0.272, "polymorph_energy_mev_per_atom": 430.0}

---

# 3
{"formula": "SiIr", "functional": "PBE", "state": "optimized geometry", "cell": [[-0.2697, -1.3591, 4.7161], [-6.9876, -3.5285, -1.4164], [3.2699, -5.8714, -1.5050]], "species": ["Si", "Si", "Si", "Si", "Si", "Si", "Si", "Si", "Ir", "Ir", "Ir", "Ir", "Ir", "Ir", "Ir", "Ir"], "frac_coords": [[0.2310, 0.0681, 0.4614], [0.7310, 0.4319, 0.5386], [0.7690, 0.5681, 0.0386], [0.2690, 0.9319, 0.9614], [0.2207, 0.6252, 0.3977], [0.7207, 0.8748, 0.6023], [0.7793, 0.1252, 0.1023], [0.2793, 0.3748, 0.8977], [0.7753, 0.1469, 0.4436], [0.2753, 0.3531, 0.5564], [0.2247, 0.6469, 0.0564], [0.7247, 0.8531, 0.9436], [0.4740, 0.8652, 0.3102], [0.9740, 0.6348, 0.6898], [0.5260, 0.3652, 0.1898], [0.0260, 0.1348, 0.8102]], "spacegroup": "P2_12_12_1, No. 19", "final_energy_ev_per_atom": -7.60, "volume_a3_per_atom": 16.83, "e_form_raw_ev_per_atom": -0.454}